No. 1
Entry from the Alexandria database: an optimized crystal structure of FeOs3Br (PBE-GGA).

The value obtained for the total energy is -32.7 eV per cell. For the relative energy among the computed polymorphs, the calculation gives 0.000 eV/atom. For the energy relative to the elements, uncorrected, the calculation gives 2.22 eV per atom. For the density of states at the Fermi level, the calculation gives 8.48 states/eV per cell. For the total moment, the calculation gives 0.000 μB/f.u.

The space group is Pm-3m (No. 221) and the conventional cell measures 4.487, 4.487 and 4.487 Å, with angles of 90.00, 90.00 and 90.00 degrees. Symmetry generates all atoms from Fe at (0.000, 0.000, 0.000), Os at (0.000, 0.000, 0.500) and Br at (0.500, 0.500, 0.500).



No. 2
Entry from the Alexandria database: an optimized crystal structure of FeOsBr2 (PBE-GGA).

The value obtained for the total energy is -36.9 eV per cell. For the relative energy among the computed polymorphs, the calculation gives 0.747 eV/atom. For the energy relative to the elements, uncorrected, the calculation gives 1.15 eV per atom. For the density of states at the Fermi level, the calculation gives 8.79 states/eV per cell. For the total moment, the calculation gives 2.702 μB/f.u.

The space group is Cmmm (No. 65) and the conventional cell measures 3.014, 5.698 and 8.505 Å, with angles of 90.00, 90.00 and 90.00 degrees. Symmetry generates all atoms from Fe at (0.000, 0.000, 0.000), Os at (0.000, 0.000, 0.500) and Br at (0.000, 0.500, 0.245).